1.
The following is a PBE-GGA calculation of a relaxed structure of CsInSnI4, from Alexandria.

Properties
Theoretical density (g cm⁻³): 4.04
Crystal system: tetragonal
Space group: I4mm
Total magnetization (μB per formula unit): 0.00
Uncorrected formation energy (eV per atom): -0.751

Unit cell a=6.248 b=6.248 c=10.202 alpha=107.83 beta=107.83 gamma=90.00
Element x y z (fractional)
I: 0.185 0.185 0.370
I: 0.835 0.835 0.670
In: 0.357 0.357 0.713
I: 0.496 0.996 0.992
Sn: 0.998 0.998 0.995
Cs: 0.634 0.634 0.267
I: 0.996 0.496 0.992

---

2.
The following is a PBE-GGA calculation of a relaxed structure of YIn2Os, from Alexandria.

Properties
Theoretical density (g cm⁻³): 10.02
Crystal system: tetragonal
Calculated formation energy (meV per atom): 84
Space group: I-4m2
Total magnetization (μB per formula unit): 0.00
Fermi-level density of states (states/eV per cell): 2.7

Unit cell a=5.271 b=5.271 c=4.473 alpha=64.89 beta=64.89 gamma=50.20
Element x y z (fractional)
In: 0.750 0.750 0.750
Os: 0.500 0.500 0.500
In: 0.000 0.000 0.000
Y: 0.250 0.250 0.250

---

- Among the records above, which one has the highest theoretical density?
  YIn2Os

---

- theoretical density of number 1 (CsInSnI4)?
  4.04 g cm⁻³